This record from Alexandria via LeMat-Bulk describes an optimized crystal structure of ScAgPb2. The functional is GGA-PBE. Values from VASP.

Properties
Calculated total energy (eV/cell): -16.81
Space group: Pmmm (47)
Energy of formation (eV per atom): -0.05

Quantum ESPRESSO input file:
```
&SYSTEM
  ibrav = 0, nat = 4, ntyp = 3
/
ATOMIC_SPECIES
Sc 44.96 Sc.upf
Ag 107.87 Ag.upf
Pb 207.20 Pb.upf
CELL_PARAMETERS angstrom
3.3741 0.0000 0.0000
0.0000 4.2958 0.0000
0.0000 0.0000 6.7671
ATOMIC_POSITIONS angstrom
Sc 0.0000 0.0000 0.0000
Ag 0.0000 0.0000 3.3836
Pb 1.6871 2.1479 1.7020
Pb 1.6871 2.1479 5.0651
```

This record from Alexandria via LeMat-Bulk describes an optimized crystal structure of ScAgPb2. The functional is GGA-PBE. Values from VASP.

Properties
Calculated total energy (eV/cell): -16.82
Space group: Cmmm (65)
Energy of formation (eV per atom): -0.06

Quantum ESPRESSO input file:
```
&SYSTEM
  ibrav = 0, nat = 4, ntyp = 3
/
ATOMIC_SPECIES
Sc 44.96 Sc.upf
Ag 107.87 Ag.upf
Pb 207.20 Pb.upf
CELL_PARAMETERS angstrom
2.4101 -2.8770 0.0000
2.4101 2.8770 0.0000
0.0000 0.0000 7.1218
ATOMIC_POSITIONS angstrom
Sc 0.0000 0.0000 0.0000
Ag 0.0000 0.0000 3.5609
Pb 2.4101 0.0000 1.8330
Pb 2.4101 0.0000 5.2888
```

This record from Alexandria via LeMat-Bulk describes an optimized crystal structure of ScAgPb2. The functional is GGA-PBE. Values from VASP.

Properties
Calculated total energy (eV/cell): -32.81
Space group: I-42d (122)
Energy of formation (eV per atom): 0.05

Quantum ESPRESSO input file:
```
&SYSTEM
  ibrav = 0, nat = 8, ntyp = 3
/
ATOMIC_SPECIES
Sc 44.96 Sc.upf
Ag 107.87 Ag.upf
Pb 207.20 Pb.upf
CELL_PARAMETERS angstrom
-4.0189 4.0189 3.2048
4.0189 -4.0189 3.2048
4.0189 4.0189 -3.2048
ATOMIC_POSITIONS angstrom
Sc 0.0000 0.0000 0.0000
Sc 0.0000 4.0189 1.6024
Ag 4.0189 0.0000 1.6024
Ag 0.0000 0.0000 3.2048
Pb 2.0094 -1.8303 2.4036
Pb 2.1886 2.0094 0.8012
Pb 2.0094 5.8492 -0.8012
Pb 1.8303 2.0094 4.0059
```

This record from Alexandria via LeMat-Bulk describes an optimized crystal structure of Sc8Ag2Pb. The functional is GGA-PBE. Values from VASP.

Properties
Calculated total energy (eV/cell): -60.83
Space group: C2/m (12)
Energy of formation (eV per atom): -0.07

Quantum ESPRESSO input file:
```
&SYSTEM
  ibrav = 0, nat = 11, ntyp = 3
/
ATOMIC_SPECIES
Sc 44.96 Sc.upf
Ag 107.87 Ag.upf
Pb 207.20 Pb.upf
CELL_PARAMETERS angstrom
4.0864 -6.7806 0.0000
4.0864 6.7806 0.0000
-1.7590 0.0000 4.7132
ATOMIC_POSITIONS angstrom
Sc 0.6573 1.5530 2.8713
Sc 4.0864 3.6851 0.0000
Sc 0.6573 -1.5530 2.8713
Sc 2.9666 0.0000 0.9479
Sc 3.4472 0.0000 3.7654
Sc 5.7566 1.5530 1.8419
Sc 4.0864 -3.6851 0.0000
Sc 5.7566 -1.5530 1.8419
Ag 3.2069 2.6684 2.3566
Ag 3.2069 -2.6684 2.3566
Pb 0.0000 0.0000 0.0000
```

This record from Alexandria via LeMat-Bulk describes an optimized crystal structure of ScAgPb2. The functional is GGA-PBE. Values from VASP.

Properties
Calculated total energy (eV/cell): -16.95
Space group: Pmm2 (25)
Energy of formation (eV per atom): -0.09

Quantum ESPRESSO input file:
```
&SYSTEM
  ibrav = 0, nat = 4, ntyp = 3
/
ATOMIC_SPECIES
Sc 44.96 Sc.upf
Ag 107.87 Ag.upf
Pb 207.20 Pb.upf
CELL_PARAMETERS angstrom
3.5129 0.0000 0.0000
0.0000 4.3964 0.0000
0.0000 0.0000 6.4026
ATOMIC_POSITIONS angstrom
Sc 0.0000 0.0000 0.0000
Ag 1.7564 2.1982 1.6277
Pb 0.0000 0.0000 3.0738
Pb 1.7564 2.1982 5.0465
```

This record from Alexandria via LeMat-Bulk describes an optimized crystal structure of ScAg2Pb2. The functional is GGA-PBE. Values from VASP.

Properties
Calculated total energy (eV/cell): -38.82
Space group: P4/mbm (127)
Energy of formation (eV per atom): 0.01

Quantum ESPRESSO input file:
```
&SYSTEM
  ibrav = 0, nat = 10, ntyp = 3
/
ATOMIC_SPECIES
Sc 44.96 Sc.upf
Ag 107.87 Ag.upf
Pb 207.20 Pb.upf
CELL_PARAMETERS angstrom
7.7876 0.0000 0.0000
0.0000 7.7876 0.0000
0.0000 0.0000 3.9614
ATOMIC_POSITIONS angstrom
Sc 0.0000 0.0000 0.0000
Sc 3.8938 3.8938 0.0000
Ag 0.9757 2.9181 0.0000
Ag 2.9181 6.8118 0.0000
Ag 4.8695 0.9757 0.0000
Ag 6.8118 4.8695 0.0000
Pb 1.3982 5.2920 1.9807
Pb 2.4956 1.3982 1.9807
Pb 5.2920 6.3894 1.9807
Pb 6.3894 2.4956 1.9807
```

This record from Alexandria via LeMat-Bulk describes an optimized crystal structure of ScAgPb2. The functional is GGA-PBE. Values from VASP.

Properties
Calculated total energy (eV/cell): -17.29
Space group: P4/mmm (123)
Energy of formation (eV per atom): -0.17

Quantum ESPRESSO input file:
```
&SYSTEM
  ibrav = 0, nat = 4, ntyp = 3
/
ATOMIC_SPECIES
Sc 44.96 Sc.upf
Ag 107.87 Ag.upf
Pb 207.20 Pb.upf
CELL_PARAMETERS angstrom
4.7232 0.0000 0.0000
0.0000 4.7232 0.0000
0.0000 0.0000 4.2976
ATOMIC_POSITIONS angstrom
Sc 0.0000 0.0000 0.0000
Ag 2.3616 2.3616 0.0000
Pb 0.0000 2.3616 2.1488
Pb 2.3616 0.0000 2.1488
```

This record from Alexandria via LeMat-Bulk describes an optimized crystal structure of ScAgPb. The functional is GGA-PBE. Values from VASP.

Properties
Calculated total energy (eV/cell): -26.37
Space group: P4/nmm (129)
Energy of formation (eV per atom): -0.10

Quantum ESPRESSO input file:
```
&SYSTEM
  ibrav = 0, nat = 6, ntyp = 3
/
ATOMIC_SPECIES
Sc 44.96 Sc.upf
Ag 107.87 Ag.upf
Pb 207.20 Pb.upf
CELL_PARAMETERS angstrom
4.4273 0.0000 0.0000
0.0000 4.4273 0.0000
0.0000 0.0000 7.3137
ATOMIC_POSITIONS angstrom
Sc 1.1068 3.3205 0.0000
Sc 3.3205 1.1068 0.0000
Ag 1.1068 1.1068 1.9723
Ag 3.3205 3.3205 5.3414
Pb 1.1068 1.1068 4.9135
Pb 3.3205 3.3205 2.4002
```

This record from Alexandria via LeMat-Bulk describes an optimized crystal structure of Sc4Ag3Pb. The functional is GGA-PBE. Values from VASP.

Properties
Calculated total energy (eV/cell): -40.02
Space group: R-3m (166)
Energy of formation (eV per atom): -0.30

Quantum ESPRESSO input file:
```
&SYSTEM
  ibrav = 0, nat = 8, ntyp = 3
/
ATOMIC_SPECIES
Sc 44.96 Sc.upf
Ag 107.87 Ag.upf
Pb 207.20 Pb.upf
CELL_PARAMETERS angstrom
2.4569 1.4185 8.1409
-2.4569 1.4185 8.1409
0.0000 -2.8370 8.1409
ATOMIC_POSITIONS angstrom
Sc 0.0000 0.0000 2.9545
Sc 0.0000 0.0000 9.0825
Sc 0.0000 0.0000 15.3401
Sc 0.0000 0.0000 21.4682
Ag 0.0000 0.0000 0.0000
Ag 0.0000 0.0000 6.2114
Ag 0.0000 0.0000 18.2112
Pb 0.0000 0.0000 12.2113
```

This record from Alexandria via LeMat-Bulk describes an optimized crystal structure of ScAgPb2. The functional is GGA-PBE. Values from VASP.

Properties
Calculated total energy (eV/cell): -17.19
Space group: P4/mmm (123)
Energy of formation (eV per atom): -0.15

Quantum ESPRESSO input file:
```
&SYSTEM
  ibrav = 0, nat = 4, ntyp = 3
/
ATOMIC_SPECIES
Sc 44.96 Sc.upf
Ag 107.87 Ag.upf
Pb 207.20 Pb.upf
CELL_PARAMETERS angstrom
5.2164 0.0000 0.0000
0.0000 5.2164 0.0000
0.0000 0.0000 3.5617
ATOMIC_POSITIONS angstrom
Sc 0.0000 0.0000 0.0000
Ag 2.6082 2.6082 0.0000
Pb 0.0000 2.6082 1.7808
Pb 2.6082 0.0000 1.7808
```

This record from Alexandria via LeMat-Bulk describes an optimized crystal structure of ScAgPb. The functional is GGA-PBE. Values from VASP.

Properties
Calculated total energy (eV/cell): -13.47
Space group: P3m1 (156)
Energy of formation (eV per atom): -0.19

Quantum ESPRESSO input file:
```
&SYSTEM
  ibrav = 0, nat = 3, ntyp = 3
/
ATOMIC_SPECIES
Sc 44.96 Sc.upf
Ag 107.87 Ag.upf
Pb 207.20 Pb.upf
CELL_PARAMETERS angstrom
4.8096 0.0000 0.0000
-2.4048 4.1652 0.0000
0.0000 0.0000 3.3823
ATOMIC_POSITIONS angstrom
Sc 0.0000 0.0000 0.0000
Ag 2.4048 1.3884 1.4715
Pb 0.0000 2.7768 1.9300
```

This record from Alexandria via LeMat-Bulk describes an optimized crystal structure of ScAgPb3. The functional is GGA-PBE. Values from VASP.

Properties
Calculated total energy (eV/cell): -17.91
Space group: Pm-3m (221)
Energy of formation (eV per atom): 0.48

Quantum ESPRESSO input file:
```
&SYSTEM
  ibrav = 0, nat = 5, ntyp = 3
/
ATOMIC_SPECIES
Sc 44.96 Sc.upf
Ag 107.87 Ag.upf
Pb 207.20 Pb.upf
CELL_PARAMETERS angstrom
5.6192 0.0000 0.0000
0.0000 5.6192 0.0000
0.0000 0.0000 5.6192
ATOMIC_POSITIONS angstrom
Sc 0.0000 0.0000 0.0000
Ag 2.8096 2.8096 2.8096
Pb 0.0000 0.0000 2.8096
Pb 0.0000 2.8096 0.0000
Pb 2.8096 0.0000 0.0000
```